The following is a DFT calculation (PBE-GGA) of a relaxed structure of NaCe3S6.

Values from the calculation:
total moment	1.16	μB per formula unit
uncorrected energy	-6.155	eV/atom
symmetry	Cmc2_1, No. 36

a = 6.9277 Å, b = 8.5196 Å, c = 8.5196 Å
α = 102.20°, β = 90.00°, γ = 90.00°
Site moments in Bohr magnetons follow the coordinates.
Positions (direct):
Ce 0.9794 0.7091 0.9223  0.46
S 0.2491 0.0098 0.9902  -0.03
Na 0.9894 0.1719 0.8281  0.00
S 0.7184 0.9070 0.4483  -0.03
S 0.6770 0.6326 0.6916  -0.03
Ce 0.4794 0.9223 0.7091  0.46
S 0.6150 0.2304 0.7696  -0.03
S 0.7184 0.5517 0.0930  -0.03
S 0.2184 0.4483 0.9070  -0.03
S 0.6770 0.3084 0.3674  -0.03
Na 0.4894 0.8281 0.1719  0.00
S 0.7491 0.9902 0.0098  -0.03
S 0.2184 0.0930 0.5517  -0.03
S 0.1770 0.3674 0.3084  -0.03
Ce 0.3821 0.3953 0.6047  0.38
Ce 0.9794 0.0777 0.2909  0.46
S 0.1770 0.6916 0.6326  -0.03
Ce 0.4794 0.2909 0.0777  0.46
Ce 0.8821 0.6047 0.3953  0.38
S 0.1150 0.7696 0.2304  -0.03

The following is a DFT calculation (PBE-GGA) of a relaxed structure of Zr2InP.

Values from the calculation:
total moment	0.00	μB per formula unit
formation energy	-0.6299	eV per atom
symmetry	Cmmm, No. 65

a = 3.2166 Å, b = 3.2166 Å, c = 8.1867 Å
α = 90.00°, β = 90.00°, γ = 105.07°
Positions (direct):
In 0.5000 0.5000 0.5000
P 0.5000 0.5000 0.0000
Zr 0.0000 0.0000 0.7916
Zr 0.0000 0.0000 0.2084

The following is a DFT calculation (PBE-GGA) of a relaxed structure of MoSeCl2.

Values from the calculation:
total moment	2.58	μB per formula unit
uncorrected energy	-3.704	eV/atom
symmetry	Cmmm, No. 65

a = 5.1704 Å, b = 5.1704 Å, c = 3.1161 Å
α = 90.00°, β = 90.00°, γ = 110.63°
Site moments in Bohr magnetons follow the coordinates.
Positions (direct):
Se 0.0000 0.5000 0.5000  -0.20
Mo 0.5000 0.0000 0.5000  2.58
Cl 0.0000 0.0000 0.0000  -0.06
Cl 0.5000 0.5000 0.0000  -0.06

The following is a DFT calculation (PBE-GGA) of a relaxed structure of Y2InNi2.

Values from the calculation:
total moment	0.00	μB per formula unit
formation energy	-0.5027	eV per atom
symmetry	P4/mbm, No. 127

a = 3.7085 Å, b = 7.3939 Å, c = 7.3939 Å
α = 90.00°, β = 90.00°, γ = 90.00°
Positions (direct):
Y 0.5000 0.6774 0.8226
Ni 0.0000 0.6180 0.1180
Ni 0.0000 0.8820 0.6180
In 0.0000 0.5000 0.5000
Ni 0.0000 0.1180 0.3820
Y 0.5000 0.1774 0.6774
Y 0.5000 0.3226 0.1774
Y 0.5000 0.8226 0.3226
In 0.0000 0.0000 0.0000
Ni 0.0000 0.3820 0.8820

The following is a DFT calculation (PBE-GGA) of a relaxed structure of Ca2ScAg4.

Values from the calculation:
total moment	0.00	μB per formula unit
formation energy	-0.0994	eV per atom
symmetry	I4/mmm, No. 139

a = 5.1155 Å, b = 5.1155 Å, c = 7.5903 Å
α = 109.69°, β = 109.69°, γ = 90.00°
Positions (direct):
Ag 0.1075 0.6075 0.2149
Ca 0.7317 0.7317 0.4635
Sc 0.0000 0.0000 0.0000
Ca 0.2683 0.2683 0.5365
Ag 0.6075 0.1075 0.2149
Ag 0.8925 0.3925 0.7851
Ag 0.3925 0.8925 0.7851

The following is a DFT calculation (PBE-GGA) of a relaxed structure of Ba3CrC.

Values from the calculation:
total moment	6.66	μB per formula unit
formation energy	0.7828	eV per atom
symmetry	Pm-3m, No. 221

a = 5.7930 Å, b = 5.7930 Å, c = 5.7930 Å
α = 90.00°, β = 90.00°, γ = 90.00°
Site moments in Bohr magnetons follow the coordinates.
Positions (direct):
Ba 0.5000 0.0000 0.0000  0.07
Cr 0.5000 0.5000 0.5000  4.15
Ba 0.0000 0.5000 0.0000  0.07
Ba 0.0000 0.0000 0.5000  0.08
C 0.0000 0.0000 0.0000  0.42